<A>
DFT (PBE) results for crystalline La3NdTl at its relaxed geometry.

Fermi-level density of states = 1.2675 states/eV per atom

Lattice parameters (Å, degrees): 4.973 4.985 13.565 90.00 79.44 90.00
Positions (direct):
La: 0.267 0.750 0.114
La: 0.877 0.750 0.895
La: 0.574 0.250 0.500
La: 0.381 0.250 0.886
La: 0.772 0.250 0.105
La: 0.074 0.750 0.500
Tl: 0.977 0.250 0.694
Tl: 0.671 0.750 0.306
Nd: 0.171 0.250 0.306
Nd: 0.477 0.750 0.694

<B>
DFT (PBE) results for crystalline La3NdTl at its relaxed geometry.

Fermi-level density of states = 1.0414 states/eV per atom

Lattice parameters (Å, degrees): 5.958 8.384 7.760 90.00 90.00 110.84
Positions (direct):
Tl: 0.003 0.504 0.750
Tl: 0.997 0.496 0.250
La: 0.820 0.140 0.498
La: 0.180 0.860 0.998
La: 0.820 0.140 0.002
La: 0.180 0.860 0.502
La: 0.389 0.277 0.750
La: 0.611 0.723 0.250
Nd: 0.620 0.742 0.750
Nd: 0.380 0.258 0.250

The most stable of them is <A>.

<A>
DFT (PBE) results for crystalline La2Nd8Tl at its relaxed geometry.

Fermi-level density of states = 1.4189 states/eV per atom

Lattice parameters (Å, degrees): 5.687 7.771 10.081 112.67 106.38 90.00
Positions (direct):
Nd: 0.000 0.742 0.000
Nd: 0.364 0.592 0.728
Nd: 0.636 0.864 0.272
Nd: 0.825 0.825 0.649
Nd: 0.364 0.136 0.728
Nd: 0.175 0.175 0.351
Nd: 0.000 0.258 0.000
Nd: 0.636 0.408 0.272
La: 0.808 0.308 0.615
La: 0.192 0.692 0.385
Tl: 0.500 0.000 0.000

<B>
DFT (PBE) results for crystalline La2Nd8Tl at its relaxed geometry.

Fermi-level density of states = 1.3543 states/eV per atom

Lattice parameters (Å, degrees): 5.132 8.156 9.670 104.58 105.39 90.00
Positions (direct):
La: 0.777 0.367 0.553
La: 0.223 0.633 0.447
Nd: 0.137 0.177 0.274
Nd: 0.677 0.908 0.354
Nd: 0.589 0.441 0.178
Nd: 0.863 0.823 0.726
Nd: 0.957 0.273 0.914
Nd: 0.411 0.559 0.822
Nd: 0.043 0.727 0.086
Nd: 0.323 0.092 0.646
Tl: 0.500 0.000 0.000

The most stable of them is <B>.

<A>
DFT (PBE) results for crystalline LaNd6Tl3 at its relaxed geometry.

Fermi-level density of states = 1.1732 states/eV per atom

Lattice parameters (Å, degrees): 5.462 10.203 11.742 102.11 90.00 90.00
Positions (direct):
Nd: 0.750 0.185 0.719
Nd: 0.750 0.866 0.773
Nd: 0.250 0.641 0.693
Nd: 0.250 0.072 0.909
Nd: 0.250 0.276 0.520
Nd: 0.250 0.454 0.096
Nd: 0.750 0.724 0.480
Nd: 0.750 0.359 0.307
Nd: 0.250 0.134 0.227
Nd: 0.750 0.928 0.091
Nd: 0.250 0.815 0.281
Nd: 0.750 0.546 0.904
Tl: 0.250 0.541 0.394
Tl: 0.750 0.644 0.191
Tl: 0.750 0.459 0.606
Tl: 0.250 0.356 0.809
Tl: 0.750 0.239 0.023
Tl: 0.250 0.761 0.977
La: 0.250 0.957 0.594
La: 0.750 0.043 0.406

<B>
DFT (PBE) results for crystalline LaNd6Tl3 at its relaxed geometry.

Fermi-level density of states = 1.3602 states/eV per atom

Lattice parameters (Å, degrees): 7.986 9.551 9.551 110.72 90.00 90.00
Positions (direct):
Tl: 0.814 0.555 0.445
Tl: 0.432 0.983 0.720
Tl: 0.932 0.720 0.983
Tl: 0.932 0.017 0.280
Tl: 0.314 0.445 0.555
Tl: 0.432 0.280 0.017
Nd: 0.293 0.076 0.454
Nd: 0.124 0.702 0.298
Nd: 0.293 0.546 0.924
Nd: 0.607 0.695 0.764
Nd: 0.793 0.924 0.546
Nd: 0.607 0.236 0.305
Nd: 0.796 0.049 0.951
Nd: 0.107 0.305 0.236
Nd: 0.107 0.764 0.695
Nd: 0.296 0.951 0.049
Nd: 0.624 0.298 0.702
Nd: 0.793 0.454 0.076
La: 0.586 0.783 0.217
La: 0.086 0.217 0.783

The most stable of them is <A>.

<A>
DFT (PBE) results for crystalline LaNd4Tl3 at its relaxed geometry.

Fermi-level density of states = 1.3727 states/eV per atom

Lattice parameters (Å, degrees): 5.544 5.544 10.012 73.93 73.93 60.00
Positions (direct):
Nd: 0.133 0.133 0.602
Nd: 0.867 0.867 0.398
Nd: 0.389 0.389 0.833
Nd: 0.611 0.611 0.167
Tl: 0.736 0.736 0.793
Tl: 0.264 0.264 0.207
Tl: 0.500 0.500 0.500
La: 0.000 0.000 0.000

<B>
DFT (PBE) results for crystalline LaNd4Tl3 at its relaxed geometry.

Fermi-level density of states = 0.9956 states/eV per atom

Lattice parameters (Å, degrees): 3.832 5.679 23.524 149.82 94.67 90.00
Positions (direct):
Tl: 0.121 0.780 0.242
Tl: 0.000 0.500 0.000
Tl: 0.879 0.220 0.758
Nd: 0.736 0.644 0.472
Nd: 0.378 0.698 0.755
Nd: 0.264 0.356 0.528
Nd: 0.622 0.302 0.245
La: 0.500 0.000 0.000

The most stable of them is <B>.